Entry 1:
Below is crystalline TePtSe2 at its relaxed geometry, with properties calculated at the PBE level.

Properties
E ... -4.152 eV/atom
Crystal system ... trigonal
Volume ... 281 Å³/cell
E_form (uncorrected) ... -0.5 eV per formula unit
Total magnetic moment ... 0.0 μB per formula unit

Cell: 3.7071 3.7071 23.5804 Å, 90.00 90.00 120.00°
Space group R-3m (No. 166, hexagonal axes)
One atom of each set of equivalent atoms:
Te: 0.0000 0.0000 0.0000
Pt: 0.0000 0.0000 0.5000
Se: 0.0000 0.0000 0.2245

Entry 2:
Below is crystalline TaMo4Pt at its relaxed geometry, with properties calculated at the PBE level.

Properties
ΔE_f ... 0.12 eV/atom
E ... -10.084 eV/atom
Crystal system ... cubic
Volume ... 399 Å³/cell
Total magnetic moment ... 0.0 μB per formula unit

Cell: 7.364 7.364 7.364 Å, 90.00 90.00 90.00°
Space group F-43m (No. 216)
One atom of each set of equivalent atoms:
Ta: 0.000 0.000 0.000
Mo: 0.126 0.126 0.374
Pt: 0.250 0.250 0.750

Entry 3:
Below is crystalline MgMn2B at its relaxed geometry, with properties calculated at the PBE level.

Properties
ΔE_f ... 0.68 eV/atom
E ... -5.968 eV/atom
Crystal system ... tetragonal
Volume ... 200 Å³/cell
Total magnetic moment ... 0.0 μB per formula unit

Cell: 3.534 3.534 15.994 Å, 90.00 90.00 90.00°
Space group I-42d (No. 122)
One atom of each set of equivalent atoms:
Mg: 0.000 0.000 0.000
Mn: 0.151 0.750 0.625
B: 0.000 0.000 0.500

Which value of volume does entry 2 give? 399 Å³/cell

total magnetic moment of number 2 (TaMo4Pt)? 0.0 μB per formula unit